[1]
# LiInSi2O6

LiInSi2O6 after structural relaxation (PBE-GGA, Alexandria via LeMat-Bulk).

```
LiInSi2O6
1.0
4.986 -4.613 0.000
4.986 4.613 0.000
-1.938 0.000 5.102
Li In Si O
2 2 4 12
direct
0.243 0.757 0.750
0.757 0.243 0.250
0.110 0.890 0.250
0.890 0.110 0.750
0.216 0.386 0.281
0.386 0.216 0.781
0.614 0.784 0.219
0.784 0.614 0.719
0.039 0.206 0.164
0.132 0.615 0.368
0.206 0.039 0.664
0.335 0.369 0.047
0.369 0.335 0.547
0.385 0.868 0.132
0.615 0.132 0.868
0.631 0.665 0.453
0.665 0.631 0.953
0.794 0.961 0.336
0.868 0.385 0.632
0.961 0.794 0.836
```

Output
Electronic total energy ... -6.934 eV/atom
Crystal system ... monoclinic
E above lowest polymorph ... 0.0000 eV per atom
Total moment ... 0.00 μB/f.u.
Space-group type ... C2/c, No. 15
ΔE_f (raw) ... -2.410 eV/atom

[2]
# BaOs4Pb

BaOs4Pb after structural relaxation (PBE-GGA, Alexandria via LeMat-Bulk).

```
BaOs4Pb
1.0
0.000 3.894 3.894
3.894 0.000 3.894
3.894 3.894 0.000
Ba Os Pb
1 4 1
direct
0.000 0.000 0.000
0.128 0.624 0.624
0.624 0.128 0.624
0.624 0.624 0.128
0.624 0.624 0.624
0.250 0.250 0.250
```

Output
Electronic total energy ... -7.532 eV/atom
Crystal system ... cubic
Energy relative to the elements ... 0.8932 eV per atom
Total moment ... 1.21 μB/f.u.
Space-group type ... F-43m, No. 216

[3]
# Ac8Co3PI4

Ac8Co3PI4 after structural relaxation (PBE-GGA, Alexandria via LeMat-Bulk).

```
Ac8Co3PI4
1.0
7.561 -4.360 0.000
7.561 4.360 0.000
-5.030 0.000 8.540
Ac Co P I
8 3 1 4
direct
0.214 0.735 0.683
0.228 0.228 0.683
0.265 0.786 0.317
0.266 0.266 0.318
0.734 0.734 0.682
0.735 0.214 0.683
0.772 0.772 0.317
0.786 0.265 0.317
0.000 0.000 0.500
0.000 0.500 0.500
0.500 0.000 0.500
0.500 0.500 0.500
0.000 0.000 0.000
0.000 0.500 0.000
0.500 0.000 0.000
0.500 0.500 0.000
```

Output
Electronic total energy ... -4.873 eV/atom
Crystal system ... monoclinic
Total moment ... 0.00 μB/f.u.
Space-group type ... C2/m, No. 12
ΔE_f (raw) ... -0.760 eV/atom

[4]
# FeOsAu2

FeOsAu2 after structural relaxation (PBE-GGA, Alexandria via LeMat-Bulk).

```
FeOsAu2
1.0
4.848 0.000 0.000
0.000 4.848 0.000
0.000 0.000 2.724
Fe Os Au
1 1 2
direct
0.000 0.000 0.000
0.500 0.500 0.000
0.000 0.500 0.500
0.500 0.000 0.500
```

Output
Electronic total energy ... -6.003 eV/atom
Crystal system ... tetragonal
Energy relative to the elements ... 0.5586 eV per atom
E above lowest polymorph ... 0.3110 eV per atom
Total moment ... 3.23 μB/f.u.
Space-group type ... P4/mmm, No. 123

[5]
# PmYHgBi

PmYHgBi after structural relaxation (PBE-GGA, Alexandria via LeMat-Bulk).

```
PmYHgBi
1.0
7.681 0.000 0.000
0.000 7.681 0.000
0.000 0.000 7.681
Pm Y Hg Bi
4 4 4 4
direct
0.000 0.000 0.000
0.000 0.500 0.500
0.500 0.000 0.500
0.500 0.500 0.000
0.000 0.000 0.500
0.000 0.500 0.000
0.500 0.000 0.000
0.500 0.500 0.500
0.250 0.250 0.250
0.250 0.750 0.750
0.750 0.250 0.750
0.750 0.750 0.250
0.250 0.250 0.750
0.250 0.750 0.250
0.750 0.250 0.250
0.750 0.750 0.750
```

Output
Electronic total energy ... -4.393 eV/atom
Crystal system ... cubic
Energy relative to the elements ... -0.5433 eV per atom
Total moment ... 0.00 μB/f.u.
Space-group type ... F-43m, No. 216

[6]
# MnAgHg2

MnAgHg2 after structural relaxation (PBE-GGA, Alexandria via LeMat-Bulk).

```
MnAgHg2
1.0
9.414 0.000 0.000
0.000 3.141 0.000
-1.052 0.000 5.372
Mn Ag Hg
2 2 4
direct
0.000 0.000 0.000
0.500 0.500 0.000
0.000 0.500 0.500
0.500 0.000 0.500
0.245 0.500 0.244
0.255 0.000 0.756
0.745 0.000 0.244
0.755 0.500 0.756
```

Output
Electronic total energy ... -2.905 eV/atom
Crystal system ... monoclinic
Energy relative to the elements ... 0.2510 eV per atom
Total moment ... 4.05 μB/f.u.
Space-group type ... C2/m, No. 12

[7]
# Er2PuUO8

Er2PuUO8 after structural relaxation (PBE-GGA, Alexandria via LeMat-Bulk).

```
Er2PuUO8
1.0
3.770 0.000 0.000
0.000 5.322 0.000
0.000 0.000 7.533
Er Pu U O
2 1 1 8
direct
0.000 0.000 0.249
0.000 0.000 0.751
0.500 0.500 0.000
0.500 0.500 0.500
0.000 0.254 0.000
0.000 0.264 0.500
0.000 0.736 0.500
0.000 0.746 0.000
0.500 0.259 0.264
0.500 0.259 0.736
0.500 0.741 0.264
0.500 0.741 0.736
```

Output
Electronic total energy ... -9.571 eV/atom
Crystal system ... orthorhombic
Total moment ... 4.02 μB/f.u.
Space-group type ... Pmmm, No. 47
ΔE_f (raw) ... -3.370 eV/atom

[8]
# InSnPbBr5

InSnPbBr5 after structural relaxation (PBE-GGA, Alexandria via LeMat-Bulk).

```
InSnPbBr5
1.0
5.438 -6.080 0.000
5.438 6.080 0.000
-3.996 0.000 9.714
In Sn Pb Br
2 2 2 10
direct
0.061 0.939 0.750
0.939 0.061 0.250
0.499 0.501 0.250
0.501 0.499 0.750
0.000 0.500 0.000
0.500 0.000 0.500
0.189 0.225 0.086
0.196 0.804 0.250
0.225 0.189 0.586
0.318 0.639 0.925
0.361 0.682 0.575
0.639 0.318 0.425
0.682 0.361 0.075
0.775 0.811 0.414
0.804 0.196 0.750
0.811 0.775 0.914
```

Output
Electronic total energy ... -3.118 eV/atom
Crystal system ... monoclinic
Total moment ... 0.00 μB/f.u.
Space-group type ... C2/c, No. 15
ΔE_f (raw) ... -0.766 eV/atom

[9]
# DyGa2NiRu

DyGa2NiRu after structural relaxation (PBE-GGA, Alexandria via LeMat-Bulk).

```
DyGa2NiRu
1.0
4.132 0.000 0.000
0.000 4.132 0.000
0.000 0.000 10.139
Dy Ga Ni Ru
2 4 2 2
direct
0.000 0.000 0.000
0.500 0.500 0.500
0.000 0.000 0.375
0.000 0.000 0.625
0.500 0.500 0.125
0.500 0.500 0.875
0.000 0.500 0.250
0.500 0.000 0.750
0.000 0.500 0.750
0.500 0.000 0.250
```

Output
Electronic total energy ... -5.643 eV/atom
Crystal system ... tetragonal
Energy relative to the elements ... -0.5004 eV per atom
Total moment ... 0.00 μB/f.u.
Space-group type ... I-4m2, No. 119

[10]
# Dy7AlS5

Dy7AlS5 after structural relaxation (PBE-GGA, Alexandria via LeMat-Bulk).

```
Dy7AlS5
1.0
6.497 -1.947 0.000
6.497 1.947 0.000
-12.987 0.000 23.393
Dy Al S
14 2 10
direct
0.007 0.007 0.325
0.144 0.144 0.825
0.172 0.172 0.036
0.204 0.204 0.612
0.230 0.230 0.250
0.399 0.399 0.536
0.481 0.481 0.888
0.519 0.519 0.112
0.601 0.601 0.464
0.770 0.770 0.750
0.796 0.796 0.388
0.828 0.828 0.964
0.856 0.856 0.175
0.993 0.993 0.675
0.445 0.445 0.750
0.555 0.555 0.250
0.000 0.000 0.500
0.155 0.155 0.929
0.187 0.187 0.140
0.203 0.203 0.429
0.407 0.407 0.360
0.500 0.500 0.000
0.593 0.593 0.640
0.797 0.797 0.571
0.813 0.813 0.860
0.845 0.845 0.071
```

Output
Electronic total energy ... -5.967 eV/atom
Crystal system ... monoclinic
Total moment ... 0.00 μB/f.u.
Space-group type ... C2/m, No. 12
ΔE_f (raw) ... -1.613 eV/atom

[11]
# UTi4Se8

UTi4Se8 after structural relaxation (PBE-GGA, Alexandria via LeMat-Bulk).

```
UTi4Se8
1.0
0.000 5.446 5.446
5.446 0.000 5.446
5.446 5.446 0.000
U Ti Se
1 4 8
direct
0.000 0.000 0.000
0.175 0.608 0.608
0.608 0.175 0.608
0.608 0.608 0.175
0.608 0.608 0.608
0.376 0.376 0.376
0.376 0.376 0.873
0.376 0.873 0.376
0.432 0.856 0.856
0.856 0.432 0.856
0.856 0.856 0.432
0.856 0.856 0.856
0.873 0.376 0.376
```

Output
Electronic total energy ... -6.432 eV/atom
Crystal system ... cubic
E above lowest polymorph ... 0.1745 eV per atom
Total moment ... 6.05 μB/f.u.
Space-group type ... F-43m, No. 216
ΔE_f (raw) ... -0.991 eV/atom

[12]
# AgBH2OF4

AgBH2OF4 after structural relaxation (PBE-GGA, Alexandria via LeMat-Bulk).

```
AgBH2OF4
1.0
7.969 0.000 0.000
0.000 13.542 0.000
0.000 0.000 7.992
Ag B H O F
8 8 16 8 32
direct
0.086 0.155 0.235
0.086 0.345 0.735
0.414 0.655 0.235
0.414 0.845 0.735
0.586 0.155 0.265
0.586 0.345 0.765
0.914 0.655 0.265
0.914 0.845 0.765
0.127 0.624 0.856
0.127 0.876 0.356
0.373 0.124 0.856
0.373 0.376 0.356
0.627 0.624 0.644
0.627 0.876 0.144
0.873 0.124 0.644
0.873 0.376 0.144
0.179 0.639 0.508
0.179 0.861 0.008
0.181 0.539 0.411
0.181 0.961 0.911
0.319 0.039 0.411
0.319 0.461 0.911
0.321 0.139 0.508
0.321 0.361 0.008
0.679 0.639 0.992
0.679 0.861 0.492
0.681 0.539 0.089
0.681 0.961 0.589
0.819 0.039 0.089
0.819 0.461 0.589
0.821 0.139 0.992
0.821 0.361 0.492
0.172 0.611 0.395
0.172 0.889 0.895
0.328 0.111 0.395
0.328 0.389 0.895
0.672 0.611 0.105
0.672 0.889 0.605
0.828 0.111 0.105
0.828 0.389 0.605
0.027 0.687 0.956
0.027 0.813 0.456
0.034 0.544 0.795
0.034 0.956 0.295
0.192 0.680 0.719
0.192 0.820 0.219
0.236 0.087 0.954
0.236 0.413 0.454
0.264 0.587 0.954
0.264 0.913 0.454
0.308 0.180 0.719
0.308 0.320 0.219
0.466 0.044 0.795
0.466 0.456 0.295
0.473 0.187 0.956
0.473 0.313 0.456
0.527 0.687 0.544
0.527 0.813 0.044
0.534 0.544 0.705
0.534 0.956 0.205
0.692 0.680 0.781
0.692 0.820 0.281
0.736 0.087 0.546
0.736 0.413 0.046
0.764 0.587 0.546
0.764 0.913 0.046
0.808 0.180 0.781
0.808 0.320 0.281
0.966 0.044 0.705
0.966 0.456 0.205
0.973 0.187 0.544
0.973 0.313 0.044
```

Output
Electronic total energy ... -5.093 eV/atom
Crystal system ... orthorhombic
Total moment ... 0.00 μB/f.u.
Space-group type ... Pbca, No. 61

[13]
# Sc3Tl4

Sc3Tl4 after structural relaxation (PBE-GGA, Alexandria via LeMat-Bulk).

```
Sc3Tl4
1.0
3.535 0.000 0.000
0.000 3.535 0.000
0.000 0.000 28.436
Sc Tl
6 8
direct
0.000 0.000 0.000
0.000 0.000 0.285
0.000 0.000 0.715
0.500 0.500 0.215
0.500 0.500 0.500
0.500 0.500 0.785
0.000 0.000 0.146
0.000 0.000 0.431
0.000 0.000 0.569
0.000 0.000 0.854
0.500 0.500 0.069
0.500 0.500 0.354
0.500 0.500 0.646
0.500 0.500 0.931
```

Output
Electronic total energy ... -4.104 eV/atom
Crystal system ... tetragonal
Energy relative to the elements ... -0.0388 eV per atom
E above lowest polymorph ... 0.1521 eV per atom
Total moment ... 0.66 μB/f.u.
Space-group type ... I4/mmm, No. 139

[14]
# Y2Zr

Y2Zr after structural relaxation (PBE-GGA, Alexandria via LeMat-Bulk).

```
Y2Zr
1.0
6.220 0.000 0.000
-3.110 5.386 0.000
0.000 0.000 10.595
Y Zr
8 4
direct
0.000 0.000 0.000
0.000 0.000 0.500
0.173 0.346 0.250
0.173 0.827 0.250
0.346 0.173 0.750
0.654 0.827 0.250
0.827 0.173 0.750
0.827 0.654 0.750
0.333 0.667 0.531
0.333 0.667 0.969
0.667 0.333 0.031
0.667 0.333 0.469
```

Output
Electronic total energy ... -6.612 eV/atom
Crystal system ... hexagonal
Energy relative to the elements ... 0.5468 eV per atom
E above lowest polymorph ... 0.4613 eV per atom
Total moment ... 0.00 μB/f.u.
Space-group type ... P6_3/mmc, No. 194

[15]
# CaAcZnIr

CaAcZnIr after structural relaxation (PBE-GGA, Alexandria via LeMat-Bulk).

```
CaAcZnIr
1.0
4.244 0.000 0.000
0.000 4.290 0.000
0.000 0.000 11.578
Ca Ac Zn Ir
2 2 2 2
direct
0.000 0.000 0.000
0.000 0.500 0.500
0.500 0.000 0.278
0.500 0.500 0.778
0.500 0.000 0.574
0.500 0.500 0.074
0.000 0.000 0.709
0.000 0.500 0.209
```

Output
Electronic total energy ... -4.526 eV/atom
Crystal system ... orthorhombic
Energy relative to the elements ... -0.4644 eV per atom
E above lowest polymorph ... 0.0000 eV per atom
Total moment ... 0.00 μB/f.u.
Space-group type ... Amm2, No. 38

[16]
# ZnTcRh2

ZnTcRh2 after structural relaxation (PBE-GGA, Alexandria via LeMat-Bulk).

```
ZnTcRh2
1.0
2.733 0.000 0.000
0.000 2.733 0.000
0.000 0.000 7.604
Zn Tc Rh
1 1 2
direct
0.000 0.000 0.000
0.500 0.500 0.740
0.000 0.000 0.499
0.500 0.500 0.239
```

Output
Electronic total energy ... -6.631 eV/atom
Crystal system ... tetragonal
Energy relative to the elements ... -0.0450 eV per atom
Total moment ... 0.00 μB/f.u.
Space-group type ... P4mm, No. 99

[17]
# CdAsS

CdAsS after structural relaxation (PBE-GGA, Alexandria via LeMat-Bulk).

```
CdAsS
1.0
10.892 0.000 0.000
0.000 4.413 0.000
-0.020 0.000 6.227
Cd As S
4 4 4
direct
0.156 0.000 0.302
0.344 0.500 0.698
0.656 0.500 0.302
0.844 0.000 0.698
0.008 0.591 0.802
0.492 0.091 0.198
0.508 0.091 0.802
0.992 0.591 0.198
0.178 0.893 0.735
0.322 0.393 0.265
0.678 0.393 0.735
0.822 0.893 0.265
```

Output
Electronic total energy ... -3.393 eV/atom
Crystal system ... monoclinic
E above lowest polymorph ... 0.1564 eV per atom
Total moment ... 0.00 μB/f.u.
Space-group type ... C2, No. 5
ΔE_f (raw) ... -0.162 eV/atom

[18]
# Pm3Ho8Th3

Pm3Ho8Th3 after structural relaxation (PBE-GGA, Alexandria via LeMat-Bulk).

```
Pm3Ho8Th3
1.0
-2.821 5.356 7.518
2.821 -5.356 7.518
2.821 5.356 -7.518
Pm Ho Th
3 8 3
direct
0.000 0.000 0.000
0.308 0.000 0.308
0.692 0.000 0.692
0.056 0.396 0.660
0.067 0.225 0.842
0.263 0.604 0.660
0.383 0.225 0.158
0.617 0.775 0.842
0.737 0.396 0.340
0.933 0.775 0.158
0.944 0.604 0.340
0.314 0.814 0.500
0.500 0.500 0.000
0.686 0.186 0.500
```

Output
Electronic total energy ... -5.067 eV/atom
Crystal system ... orthorhombic
Energy relative to the elements ... 0.1573 eV per atom
Total moment ... 0.00 μB/f.u.
Space-group type ... Immm, No. 71

[19]
# FeHgAs2

FeHgAs2 after structural relaxation (PBE-GGA, Alexandria via LeMat-Bulk).

```
FeHgAs2
1.0
3.613 0.000 0.000
0.000 4.116 0.000
-1.779 0.000 5.282
Fe Hg As
1 1 2
direct
0.000 0.000 0.000
0.610 0.500 0.226
0.346 0.000 0.687
0.881 0.500 0.753
```

Output
Electronic total energy ... -4.181 eV/atom
Crystal system ... monoclinic
Energy relative to the elements ... 0.3349 eV per atom
Total moment ... 1.87 μB/f.u.
Space-group type ... Pm, No. 6